Entry 1:
A plane-wave DFT calculation with PBE was carried out for a relaxed structure of FeSi2HgOs.

abc: 4.5420 4.5420 5.3784
angles: 90.00 90.00 90.00
With the nearest neighbours (Å) after each atom.
Atoms (fractional coordinates):
1 Fe 0.0000 0.0000 0.0000  4 Hg 3.21, 8 Si 3.52
2 Si 0.0000 0.5000 0.5000  2 Os 2.27
3 Si 0.5000 0.0000 0.5000  2 Os 2.27
4 Hg 0.5000 0.5000 0.0000  2 Os 2.69
5 Os 0.5000 0.5000 0.5000  4 Si 2.27

## Properties
The value obtained for the energy above the most stable polymorph in this dataset is 0 meV/atom. The raw formation energy is 19.5 kcal/mol of atoms. For the density of states at the Fermi level, the calculation gives 0.88 states/eV per atom.

Entry 2:
A plane-wave DFT calculation with PBE was carried out for a relaxed structure of TiFeHgOs2.

abc: 4.6138 4.6138 4.3969
angles: 90.00 90.00 90.00
With the nearest neighbours (Å) after each atom.
Atoms (fractional coordinates):
1 Ti 0.0000 0.0000 0.0000  2 Fe 2.20, 4 Os 2.31
2 Fe 0.0000 0.0000 0.5000  2 Ti 2.20
3 Hg 0.5000 0.5000 0.5000  8 Os 3.19, 4 Fe 3.26
4 Os 0.0000 0.5000 0.0000  2 Ti 2.31
5 Os 0.5000 0.0000 0.0000  2 Ti 2.31

## Properties
Its energy of formation from the pure elements is 1.503 eV/atom. For the density of states at the Fermi level, the calculation gives 0.87 states/eV per atom.

Entry 3:
A plane-wave DFT calculation with PBE was carried out for a relaxed structure of Fe4HgP.

abc: 4.9226 4.9226 4.9226
angles: 60.00 60.00 60.00
With the nearest neighbours (Å) after each atom.
Atoms (fractional coordinates):
1 Fe 0.1248 0.1248 0.1248  6 Fe 2.46-2.47
2 Fe 0.1248 0.1248 0.6257  6 Fe 2.46-2.47
3 Fe 0.1248 0.6257 0.1248  6 Fe 2.46-2.47
4 Fe 0.6257 0.1248 0.1248  6 Fe 2.46-2.47
5 Hg 0.5000 0.5000 0.5000  12 Fe 2.89, 4 P 3.01
6 P 0.7500 0.7500 0.7500  12 Fe 2.89, 4 Hg 3.01

## Properties
Its energy of formation from the pure elements is 0.429 eV/atom. For the density of states at the Fermi level, the calculation gives 0.93 states/eV per atom.